<P>
Tb2RuBr | GGA-PBE | optimized geometry

Calculated values
N(E_F) = 1.844 states/eV per cell
spin magnetization = 0.000 μB per atom

Geometry as CIF:
```
data_Tb2RuBr
_symmetry_space_group_name_H-M 'C 1 2/m 1'
_symmetry_Int_Tables_number 12
_symmetry_space_group_name_Hall '-C 2y'
_cell_length_a 7.3392
_cell_length_b 3.6006
_cell_length_c 8.3049
_cell_angle_alpha 90.00
_cell_angle_beta 107.23
_cell_angle_gamma 90.00
loop_
_atom_site_label
_atom_site_fract_x
_atom_site_fract_y
_atom_site_fract_z
Tb1 0.2275 0.0000 0.3030
Ru1 0.0000 0.0000 0.5000
Br1 0.0000 0.5000 0.0000
```

<Q>
Tb2RuBr | GGA-PBE | optimized geometry

Calculated values
N(E_F) = 1.869 states/eV per cell
spin magnetization = 0.000 μB per atom

Geometry as CIF:
```
data_Tb2RuBr
_symmetry_space_group_name_H-M 'P 4/m m m'
_symmetry_Int_Tables_number 123
_symmetry_space_group_name_Hall '-P 4 2'
_cell_length_a 3.4042
_cell_length_b 3.4042
_cell_length_c 8.1674
_cell_angle_alpha 90.00
_cell_angle_beta 90.00
_cell_angle_gamma 90.00
loop_
_atom_site_label
_atom_site_fract_x
_atom_site_fract_y
_atom_site_fract_z
Tb1 0.0000 0.0000 0.2063
Ru1 0.5000 0.5000 0.0000
Br1 0.5000 0.5000 0.5000
```

<R>
Tb2RuBr | GGA-PBE | optimized geometry

Calculated values
N(E_F) = 1.801 states/eV per cell
spin magnetization = 0.000 μB per atom

Geometry as CIF:
```
data_Tb2RuBr
_symmetry_space_group_name_H-M 'P m m 2'
_symmetry_Int_Tables_number 25
_symmetry_space_group_name_Hall 'P 2 -2'
_cell_length_a 3.4403
_cell_length_b 8.3720
_cell_length_c 3.4791
_cell_angle_alpha 90.00
_cell_angle_beta 90.00
_cell_angle_gamma 90.00
loop_
_atom_site_label
_atom_site_fract_x
_atom_site_fract_y
_atom_site_fract_z
Tb1 0.0000 0.1990 0.0000
Ru1 0.5000 0.0000 0.5011
Br1 0.5000 0.5000 0.9578
```

Energy relative to the most stable one, in meV per atom: <P> 28; <Q> 36; <R> 0

<P>
TcRuBr2 | GGA-PBE | optimized geometry

Calculated values
N(E_F) = 6.808 states/eV per cell
spin magnetization = 0.000 μB per atom

Geometry as CIF:
```
data_TcRuBr2
_symmetry_space_group_name_H-M 'C m m 2'
_symmetry_Int_Tables_number 35
_symmetry_space_group_name_Hall 'C 2 -2'
_cell_length_a 3.9534
_cell_length_b 5.3439
_cell_length_c 8.6968
_cell_angle_alpha 90.00
_cell_angle_beta 90.00
_cell_angle_gamma 90.00
loop_
_atom_site_label
_atom_site_fract_x
_atom_site_fract_y
_atom_site_fract_z
Tc1 0.0000 0.0000 0.0000
Ru1 0.0000 0.5000 0.8553
Br1 0.0000 0.0000 0.6435
Br2 0.0000 0.5000 0.2188
```

<Q>
TcRuBr2 | GGA-PBE | optimized geometry

Calculated values
N(E_F) = 10.363 states/eV per cell
spin magnetization = 0.728 μB per atom

Geometry as CIF:
```
data_TcRuBr2
_symmetry_space_group_name_H-M 'I -4 m 2'
_symmetry_Int_Tables_number 119
_symmetry_space_group_name_Hall 'I -4 -2'
_cell_length_a 3.7769
_cell_length_b 3.7769
_cell_length_c 10.2930
_cell_angle_alpha 90.00
_cell_angle_beta 90.00
_cell_angle_gamma 90.00
loop_
_atom_site_label
_atom_site_fract_x
_atom_site_fract_y
_atom_site_fract_z
Tc1 0.0000 0.0000 0.0000
Ru1 0.0000 0.5000 0.2500
Br1 0.0000 0.0000 0.5000
Br2 0.0000 0.5000 0.7500
```

<R>
TcRuBr2 | GGA-PBE | optimized geometry

Calculated values
N(E_F) = 4.451 states/eV per cell
spin magnetization = 0.000 μB per atom

Geometry as CIF:
```
data_TcRuBr2
_symmetry_space_group_name_H-M 'C 1 m 1'
_symmetry_Int_Tables_number 8
_symmetry_space_group_name_Hall 'C -2y'
_cell_length_a 6.4556
_cell_length_b 3.5774
_cell_length_c 8.9849
_cell_angle_alpha 90.00
_cell_angle_beta 109.59
_cell_angle_gamma 90.00
loop_
_atom_site_label
_atom_site_fract_x
_atom_site_fract_y
_atom_site_fract_z
Tc1 0.0000 0.0000 0.0000
Ru1 0.2649 0.0000 0.8677
Br1 0.1428 0.5000 0.2263
Br2 0.4837 0.0000 0.6582
```

Energy relative to the most stable one, in meV per atom: <P> 292; <Q> 1061; <R> 0